Sm2Al12Au7 (PBE-GGA, relaxed); space-group type = No. 147; E_form = -515 meV per atom
1.0
-3.327 -2.405 -0.209
3.952 -4.727 -8.523
2.134 -3.785 9.577
Sm Al Au
2 12 7
Direct
0.264 0.333 0.667
0.736 0.667 0.333
0.252 0.617 0.051
0.252 0.435 0.383
0.252 0.949 0.565
0.748 0.383 0.949
0.748 0.565 0.617
0.748 0.051 0.435
0.260 0.115 0.267
0.260 0.152 0.885
0.260 0.733 0.848
0.740 0.885 0.733
0.740 0.848 0.115
0.740 0.267 0.152
0.500 0.000 0.000
0.237 0.878 0.290
0.237 0.412 0.122
0.237 0.710 0.588
0.763 0.122 0.710
0.763 0.588 0.878
0.763 0.290 0.412